Material: BaCaNiBiO6
Method: DFT, PBE+U
State: relaxed

**Total magnetization**: 1.07 μB/f.u.
**Raw total energy**: -5.5499 eV/atom
**ρ**: 6449 kg/m3
**SG**: No. 216

The structure in POSCAR format:
```
BaCaNiBiO6
1.0
0.000 4.115 4.115
4.115 0.000 4.115
4.115 4.115 0.000
Ba Ca Ni Bi O
1 1 1 1 6
direct
0.000 0.000 0.000
0.500 0.500 0.500
0.750 0.750 0.750
0.250 0.250 0.250
0.506 0.506 0.994
0.506 0.994 0.506
0.506 0.994 0.994
0.994 0.506 0.506
0.994 0.506 0.994
0.994 0.994 0.506
```